Entry 1:
A PBEsol-optimized structure of FeSiBiP2. Source: Alexandria via LeMat-Bulk, functional SCAN.

Output
Calculated volume ... 104.7 Å³/cell
Formation energy (no corrections) ... 1.067 eV per atom
Crystal system ... tetragonal
M_tot ... 0.6824 μB/atom

extended XYZ file:
```
5
Lattice="4.406 0.000 0.000 0.000 4.406 0.000 0.000 0.000 5.394" Properties=species:S:1:pos:R:3 pbc="T T T"
P 0.000 2.203 0.000
P 2.203 0.000 0.000
Si 0.000 0.000 0.000
Bi 0.000 0.000 2.697
Fe 2.203 2.203 2.697
```



Entry 2:
A PBEsol-optimized structure of CaY2Tl2. Source: Alexandria via LeMat-Bulk, functional SCAN.

Output
Calculated volume ... 283.3 Å³/cell
Crystal system ... tetragonal
M_tot ... 0.1341 μB/atom
ΔE_f ... -0.5693 eV per atom

extended XYZ file:
```
10
Lattice="-0.463 -1.290 3.855 -6.856 -4.162 -2.217 4.620 -6.711 -1.690" Properties=species:S:1:pos:R:3 pbc="T T T"
Y 1.698 -5.853 0.416
Y -0.995 -9.002 -0.961
Y -4.396 -6.309 -0.468
Y -1.704 -3.160 0.909
Tl 1.483 -7.377 -2.290
Tl -3.052 -7.849 -2.993
Tl -3.719 -3.496 -1.617
Tl 0.817 -3.024 -0.914
Ca 0.000 0.000 0.000
Ca -1.118 -5.436 -1.953
```



Entry 3:
A PBEsol-optimized structure of Tm3In. Source: Alexandria via LeMat-Bulk, functional SCAN.

Output
Calculated volume ... 207.4 Å³/cell
Crystal system ... hexagonal
M_tot ... 0.0003 μB/atom
ΔE_f ... -0.3465 eV per atom

extended XYZ file:
```
8
Lattice="5.353 0.000 0.000 0.000 6.689 0.000 0.000 -3.344 5.793" Properties=species:S:1:pos:R:3 pbc="T T T"
Tm 4.015 1.713 0.989
Tm 4.015 3.344 3.815
Tm 4.015 4.976 0.989
Tm 1.338 1.632 4.804
Tm 1.338 0.000 1.978
Tm 1.338 -1.632 4.804
In 1.338 3.344 1.931
In 4.015 0.000 3.862
```



Entry 4:
A PBEsol-optimized structure of Be3TePd. Source: Alexandria via LeMat-Bulk, functional SCAN.

Output
Calculated volume ... 80.0 Å³/cell
Formation energy (no corrections) ... 0.360 eV per atom
Crystal system ... cubic
M_tot ... 0.0000 μB/atom

extended XYZ file:
```
5
Lattice="-1.549 -0.890 -3.920 3.945 0.473 -1.666 0.775 -4.189 0.644" Properties=species:S:1:pos:R:3 pbc="T T T"
Be 1.972 0.237 -0.833
Be 0.387 -2.094 0.322
Be -0.775 -0.445 -1.960
Te 1.585 -2.302 -2.471
Pd 0.000 0.000 0.000
```



Entry 5:
A PBEsol-optimized structure of AlInRe2. Source: Alexandria via LeMat-Bulk, functional SCAN.

Output
Calculated volume ... 63.2 Å³/cell
Distance to the lowest polymorph of the same formula ... 0.1452 eV per atom
Crystal system ... orthorhombic
M_tot ... 0.0000 μB/atom
ΔE_f ... 0.4682 eV per atom

extended XYZ file:
```
4
Lattice="-1.252 2.217 -1.305 0.915 -2.049 -4.359 -4.322 -1.322 1.900" Properties=species:S:1:pos:R:3 pbc="T T T"
Re 0.457 -1.025 -2.179
Re -2.161 -0.661 0.950
Al -0.626 1.109 -0.653
In -2.330 -0.577 -1.882
```



Entry 6:
A PBEsol-optimized structure of Na2MgTaMn. Source: Alexandria via LeMat-Bulk, functional SCAN.

Output
Calculated volume ... 129.5 Å³/cell
Crystal system ... tetragonal
M_tot ... 0.2369 μB/atom
ΔE_f ... 1.5888 eV per atom

extended XYZ file:
```
5
Lattice="-3.788 2.314 2.411 -2.726 -0.030 -4.253 -1.943 -4.511 1.278" Properties=species:S:1:pos:R:3 pbc="T T T"
Na -1.363 -0.015 -2.126
Na -1.894 1.157 1.206
Mg -0.971 -2.256 0.639
Mn 0.000 0.000 0.000
Ta -4.228 -1.114 -0.282
```



Entry 7:
A PBEsol-optimized structure of Ce3Mg2InAu3. Source: Alexandria via LeMat-Bulk, functional SCAN.

Output
Calculated volume ... 205.3 Å³/cell
Crystal system ... orthorhombic
M_tot ... 0.3383 μB/atom
ΔE_f ... -0.8005 eV per atom

extended XYZ file:
```
9
Lattice="-4.138 -0.813 -0.900 1.910 -6.528 -2.891 -1.649 0.435 7.191" Properties=species:S:1:pos:R:3 pbc="T T T"
Ce 0.150 -3.505 2.473
Ce -0.682 0.158 2.994
Ce 0.792 -2.726 -1.181
Mg -3.320 -0.081 5.008
Mg -0.620 -5.363 -2.640
In -2.006 -1.886 0.594
Au -1.333 -4.681 0.025
Au -2.540 -2.320 3.443
Au 0.257 -6.000 4.235
```



Entry 8:
A PBEsol-optimized structure of RbTeRuPt2. Source: Alexandria via LeMat-Bulk, functional SCAN.

Output
Calculated volume ... 147.8 Å³/cell
Formation energy (no corrections) ... 1.298 eV per atom
Crystal system ... tetragonal
M_tot ... 0.6651 μB/atom

extended XYZ file:
```
5
Lattice="4.933 0.000 0.000 0.000 4.933 0.000 0.000 0.000 6.073" Properties=species:S:1:pos:R:3 pbc="T T T"
Ru 2.466 2.466 3.037
Te 0.000 0.000 0.000
Rb 0.000 0.000 3.037
Pt 0.000 2.466 0.000
Pt 2.466 0.000 0.000
```



Entry 9:
A PBEsol-optimized structure of LiTl2Cd. Source: Alexandria via LeMat-Bulk, functional SCAN.

Output
Calculated volume ... 92.3 Å³/cell
Crystal system ... orthorhombic
M_tot ... 0.0000 μB/atom
ΔE_f ... -0.1037 eV per atom

extended XYZ file:
```
4
Lattice="-0.563 3.441 0.112 -3.625 -0.538 -1.705 -2.696 -0.634 5.931" Properties=species:S:1:pos:R:3 pbc="T T T"
Tl -1.998 -0.469 4.395
Tl -0.698 -0.164 1.536
Cd -2.094 1.452 -0.797
Li -3.442 1.135 2.169
```



Entry 10:
A PBEsol-optimized structure of LaCoMo2. Source: Alexandria via LeMat-Bulk, functional SCAN.

Output
Calculated volume ... 70.1 Å³/cell
Distance to the lowest polymorph of the same formula ... 0.0761 eV per atom
Crystal system ... tetragonal
M_tot ... 0.0002 μB/atom
ΔE_f ... 0.8285 eV per atom

extended XYZ file:
```
4
Lattice="-0.372 -3.664 0.807 0.886 0.702 3.597 -5.024 2.193 -1.166" Properties=species:S:1:pos:R:3 pbc="T T T"
Mo -2.570 -1.476 0.921
Mo -1.940 0.707 2.316
Co 0.257 -1.481 2.202
La 0.000 0.000 0.000
```



Entry 11:
A PBEsol-optimized structure of Cs2PCl. Source: Alexandria via LeMat-Bulk, functional SCAN.

Output
Calculated volume ... 379.4 Å³/cell
Formation energy (no corrections) ... -0.728 eV per atom
Crystal system ... tetragonal
M_tot ... 0.5000 μB/atom

extended XYZ file:
```
8
Lattice="7.895 0.140 0.229 -2.827 7.373 -0.229 -2.827 -3.559 6.461" Properties=species:S:1:pos:R:3 pbc="T T T"
Cs -2.007 4.331 0.664
Cs 5.662 -1.330 4.239
Cs 1.715 1.577 2.302
Cs -0.886 3.331 5.717
P -2.827 1.907 3.116
P 1.121 -0.756 4.903
Cl 0.000 0.000 0.000
Cl 1.121 4.710 1.558
```



Entry 12:
A PBEsol-optimized structure of Ba2NbFeBi. Source: Alexandria via LeMat-Bulk, functional SCAN.

Output
Calculated volume ... 189.9 Å³/cell
Crystal system ... tetragonal
M_tot ... 0.9685 μB/atom
ΔE_f ... 0.9138 eV per atom

extended XYZ file:
```
5
Lattice="5.373 0.000 0.000 0.000 5.945 0.000 0.000 0.000 5.945" Properties=species:S:1:pos:R:3 pbc="T T T"
Fe 2.687 2.973 2.973
Nb 0.000 0.000 0.000
Bi 2.687 0.000 0.000
Ba 0.000 0.000 2.973
Ba 0.000 2.973 0.000
```



Number 1: energy -122.19 eV per formula unit. Number 2: energy -212.91 eV per formula unit. Number 3: energy -190.27 eV per formula unit. Number 4: energy -81.28 eV per formula unit. Number 5: energy -181.46 eV per formula unit. Number 6: energy -90.30 eV per formula unit. Number 7: energy -391.70 eV per formula unit. Number 8: energy -226.71 eV per formula unit. Number 9: energy -177.94 eV per formula unit. Number 10: energy -126.87 eV per formula unit. Number 11: energy -96.91 eV per formula unit. Number 12: energy -204.37 eV per formula unit.